No. 1
First-principles (GGA-PBEsol) data for a geometry-optimized SrBi2Sb2 structure, as listed in Alexandria via LeMat-Bulk.

abc: 8.6877 8.6877 8.6877
angles: 149.97 149.97 42.98
Last column: nearest neighbours and their distance in Å.
Positions (direct):
Sr 0.0000 0.0000 0.0000  8 Bi 3.53
Bi 0.4052 0.4052 0.0000  1 Bi 3.07, 4 Sb 3.37
Bi 0.5948 0.5948 0.0000  1 Bi 3.07, 4 Sb 3.37
Sb 0.2500 0.7500 0.5000  4 Sb 3.18, 4 Bi 3.37
Sb 0.7500 0.2500 0.5000  4 Sb 3.18, 4 Bi 3.37

Properties
- energy relative to the elements, uncorrected (kJ/mol of atoms) = -17
- density of states at the Fermi level (states/eV/cell) = 2.329

No. 2
First-principles (GGA-PBEsol) data for a geometry-optimized Sr2BiSb2 structure, as listed in Alexandria via LeMat-Bulk.

abc: 8.3995 8.3995 4.6116
angles: 90.00 90.00 90.00
Last column: nearest neighbours and their distance in Å.
Positions (direct):
Sr 0.1643 0.3357 0.0000  6 Sb 3.29-3.44
Sr 0.3357 0.8357 0.0000  6 Sb 3.29-3.44
Sr 0.6643 0.1643 0.0000  6 Sb 3.29-3.44
Sr 0.8357 0.6643 0.0000  6 Sb 3.29-3.44
Bi 0.0000 0.0000 0.5000  4 Sb 3.25
Bi 0.5000 0.5000 0.5000  4 Sb 3.25
Sb 0.1382 0.6382 0.5000  2 Bi 3.25, 1 Sb 3.28, 6 Sr 3.29-3.44
Sb 0.3618 0.1382 0.5000  2 Bi 3.25, 1 Sb 3.28, 6 Sr 3.29-3.44
Sb 0.6382 0.8618 0.5000  2 Bi 3.25, 1 Sb 3.28, 6 Sr 3.29-3.44
Sb 0.8618 0.3618 0.5000  2 Bi 3.25, 1 Sb 3.28, 6 Sr 3.29-3.44

Properties
- relative energy among the computed polymorphs (eV/atom) = 0.0000
- energy relative to the elements, uncorrected (kJ/mol of atoms) = -73
- density of states at the Fermi level (states/eV/cell) = 6.956

No. 3
First-principles (GGA-PBEsol) data for a geometry-optimized Sr3BiSb structure, as listed in Alexandria via LeMat-Bulk.

abc: 6.1214 6.1214 6.1214
angles: 90.00 90.00 90.00
Last column: nearest neighbours and their distance in Å.
Positions (direct):
Sr 0.0000 0.0000 0.5000  2 Bi 3.06
Sr 0.0000 0.5000 0.0000  2 Bi 3.06
Sr 0.5000 0.0000 0.0000  2 Bi 3.06
Bi 0.0000 0.0000 0.0000  6 Sr 3.06
Sb 0.5000 0.5000 0.5000  12 Sr 4.33

Properties
- energy relative to the elements, uncorrected (kJ/mol of atoms) = -46
- density of states at the Fermi level (states/eV/cell) = 0.128

No. 4
First-principles (GGA-PBEsol) data for a geometry-optimized Sr2BiSb2 structure, as listed in Alexandria via LeMat-Bulk.

abc: 9.3829 9.3829 3.6502
angles: 90.00 90.00 90.00
Last column: nearest neighbours and their distance in Å.
Positions (direct):
Sr 0.1345 0.3655 0.0000  6 Sb 3.18-3.40
Sr 0.3655 0.8655 0.0000  6 Sb 3.18-3.40
Sr 0.6345 0.1345 0.0000  6 Sb 3.18-3.40
Sr 0.8655 0.6345 0.0000  6 Sb 3.18-3.40
Bi 0.0000 0.0000 0.0000  2 Bi 3.65, 4 Sr 3.65, 8 Sb 3.94
Bi 0.5000 0.5000 0.0000  2 Bi 3.65, 4 Sr 3.65, 8 Sb 3.94
Sb 0.1690 0.6690 0.5000  6 Sr 3.18-3.40
Sb 0.3310 0.1690 0.5000  6 Sr 3.18-3.40
Sb 0.6690 0.8310 0.5000  6 Sr 3.18-3.40
Sb 0.8310 0.3310 0.5000  6 Sr 3.18-3.40

Properties
- relative energy among the computed polymorphs (eV/atom) = 0.2943
- energy relative to the elements, uncorrected (kJ/mol of atoms) = -45
- density of states at the Fermi level (states/eV/cell) = 7.613

No. 5
First-principles (GGA-PBEsol) data for a geometry-optimized SrBi3Sb structure, as listed in Alexandria via LeMat-Bulk.

abc: 5.8166 5.8166 5.8166
angles: 90.00 90.00 90.00
Last column: nearest neighbours and their distance in Å.
Positions (direct):
Sr 0.0000 0.0000 0.0000  12 Bi 4.11
Bi 0.0000 0.5000 0.5000  2 Sb 2.91
Bi 0.5000 0.0000 0.5000  2 Sb 2.91
Bi 0.5000 0.5000 0.0000  2 Sb 2.91
Sb 0.5000 0.5000 0.5000  6 Bi 2.91

Properties
- energy relative to the elements, uncorrected (kJ/mol of atoms) = 16
- density of states at the Fermi level (states/eV/cell) = 5.505

No. 6
First-principles (GGA-PBEsol) data for a geometry-optimized TaBi2Sb structure, as listed in Alexandria via LeMat-Bulk.

abc: 8.1997 8.1997 8.1997
angles: 132.10 132.10 70.08
Last column: nearest neighbours and their distance in Å.
Positions (direct):
Ta 0.0000 0.0000 0.0000  4 Bi 2.76
Ta 0.7500 0.2500 0.5000  4 Bi 2.76
Bi 0.0892 0.6250 0.9642  2 Ta 2.76, 2 Sb 3.03
Bi 0.3750 0.3392 0.4642  2 Ta 2.76, 2 Sb 3.03
Bi 0.6608 0.1250 0.0358  2 Ta 2.76, 2 Sb 3.03
Bi 0.8750 0.9108 0.5358  2 Ta 2.76, 2 Sb 3.03
Sb 0.2500 0.7500 0.5000  4 Bi 3.03
Sb 0.5000 0.5000 0.0000  4 Bi 3.03

Properties
- energy relative to the elements, uncorrected (kJ/mol of atoms) = 95
- density of states at the Fermi level (states/eV/cell) = 5.373

No. 7
First-principles (GGA-PBEsol) data for a geometry-optimized TaBiSb2Te structure, as listed in Alexandria via LeMat-Bulk.

abc: 5.6001 5.6001 5.5987
angles: 90.00 90.00 90.00
Last column: nearest neighbours and their distance in Å.
Positions (direct):
Ta 0.0000 0.0000 0.0000  8 Sb 3.96, 4 Te 3.96
Bi 0.5000 0.5000 0.5000  2 Te 2.80, 4 Sb 2.80
Sb 0.0000 0.5000 0.5000  2 Bi 2.80
Sb 0.5000 0.0000 0.5000  2 Bi 2.80
Te 0.5000 0.5000 0.0000  2 Bi 2.80

Properties
- energy relative to the elements, uncorrected (kJ/mol of atoms) = 171
- density of states at the Fermi level (states/eV/cell) = 7.120

No. 8
First-principles (GGA-PBEsol) data for a geometry-optimized Tc2BiSb structure, as listed in Alexandria via LeMat-Bulk.

abc: 4.6340 4.6340 4.6340
angles: 60.00 60.00 60.00
Last column: nearest neighbours and their distance in Å.
Positions (direct):
Tc 0.2500 0.2500 0.2500  4 Sb 2.84, 4 Bi 2.84
Tc 0.7500 0.7500 0.7500  4 Sb 2.84, 4 Bi 2.84
Bi 0.0000 0.0000 0.0000  8 Tc 2.84
Sb 0.5000 0.5000 0.5000  8 Tc 2.84

Properties
- energy relative to the elements, uncorrected (kJ/mol of atoms) = 35
- density of states at the Fermi level (states/eV/cell) = 2.838